Record 1
A plane-wave DFT calculation with PBE was carried out for CdGe3H after structural relaxation.

Results
Density of states at the Fermi level ... 4.025 states/eV per cell
ΔE to the lowest computed polymorph ... 903 meV per atom
Space-group type ... No. 221
Raw total energy ... -2.299 eV/atom

abc: 5.197 5.197 5.197
angles: 90.00 90.00 90.00
Fractional positions:
Cd (0.000, 0.000, 0.000)
Ge (0.000, 0.000, 0.500)
Ge (0.000, 0.500, 0.000)
Ge (0.500, 0.000, 0.000)
H (0.500, 0.500, 0.500)

***

Record 2
A plane-wave DFT calculation with PBE was carried out for HgP2OsS after structural relaxation.

Results
Density of states at the Fermi level ... 5.122 states/eV per cell
ΔE to the lowest computed polymorph ... 1628 meV per atom
Space-group type ... No. 123
Raw total energy ... -3.106 eV/atom

abc: 4.903 4.903 4.825
angles: 90.00 90.00 90.00
Fractional positions:
Hg (0.000, 0.000, 0.000)
P (0.000, 0.500, 0.000)
P (0.500, 0.000, 0.000)
Os (0.500, 0.500, 0.500)
S (0.000, 0.000, 0.500)

***

Record 3
A plane-wave DFT calculation with PBE was carried out for Th2P2PbN6 after structural relaxation.

Results
Space-group type ... No. 2
Raw total energy ... -7.927 eV/atom

abc: 6.254 6.270 6.593
angles: 62.97 62.98 67.89
Fractional positions:
Th (0.198, 0.198, 0.179)
Th (0.802, 0.802, 0.821)
P (0.178, 0.179, 0.726)
P (0.822, 0.821, 0.274)
Pb (0.500, 0.500, 0.500)
N (0.024, 0.398, 0.832)
N (0.073, 0.075, 0.619)
N (0.397, 0.025, 0.832)
N (0.603, 0.975, 0.168)
N (0.927, 0.925, 0.381)
N (0.976, 0.602, 0.168)

***

Record 4
A plane-wave DFT calculation with PBE was carried out for BeMo2Rh after structural relaxation.

Results
Density of states at the Fermi level ... 6.095 states/eV per cell
Space-group type ... No. 44
E_form ... -22 meV/atom
Raw total energy ... -8.206 eV/atom

abc: 2.732 4.411 9.019
angles: 90.00 90.00 90.00
Fractional positions:
Be (0.000, 0.000, 0.000)
Be (0.500, 0.500, 0.500)
Mo (0.000, 0.000, 0.527)
Mo (0.000, 0.500, 0.727)
Mo (0.500, 0.000, 0.227)
Mo (0.500, 0.500, 0.027)
Rh (0.000, 0.500, 0.300)
Rh (0.500, 0.000, 0.800)

***

Record 5
A plane-wave DFT calculation with PBE was carried out for Cs2TiBr6O after structural relaxation.

Results
Density of states at the Fermi level ... 0.000 states/eV per cell
Space-group type ... No. 139
Raw total energy ... -3.540 eV/atom

abc: 8.005 8.005 8.005
angles: 123.04 123.04 84.81
Fractional positions:
Cs (0.250, 0.750, 0.500)
Cs (0.750, 0.250, 0.500)
Ti (0.000, 0.000, 0.000)
Br (0.214, 0.214, 0.000)
Br (0.235, 0.235, 0.470)
Br (0.235, 0.765, 0.000)
Br (0.765, 0.235, 0.000)
Br (0.765, 0.765, 0.530)
Br (0.786, 0.786, 0.000)
O (0.500, 0.500, 0.000)

***

Record 6
A plane-wave DFT calculation with PBE was carried out for Sm2PuZrAs4 after structural relaxation.

Results
Density of states at the Fermi level ... 12.538 states/eV per cell
Space-group type ... No. 10
E_form ... -1303 meV/atom
Raw total energy ... -7.667 eV/atom

abc: 7.086 4.097 7.104
angles: 90.00 109.23 90.00
Fractional positions:
Sm (0.000, 0.000, 0.000)
Sm (0.500, 0.500, 0.000)
Pu (0.000, 0.500, 0.500)
Zr (0.500, 0.000, 0.500)
As (0.253, 0.000, 0.737)
As (0.262, 0.500, 0.267)
As (0.738, 0.500, 0.733)
As (0.747, 0.000, 0.263)

***

Record 7
A plane-wave DFT calculation with PBE was carried out for Pa2SbRu after structural relaxation.

Results
Density of states at the Fermi level ... 5.814 states/eV per cell
ΔE to the lowest computed polymorph ... 106 meV per atom
Space-group type ... No. 123
Raw total energy ... -8.456 eV/atom

abc: 3.800 3.800 6.215
angles: 90.00 90.00 90.00
Fractional positions:
Pa (0.000, 0.000, 0.227)
Pa (0.000, 0.000, 0.773)
Sb (0.500, 0.500, 0.500)
Ru (0.500, 0.500, 0.000)

***

Record 8
A plane-wave DFT calculation with PBE was carried out for OsC4Cl2O4 after structural relaxation.

Results
Density of states at the Fermi level ... 0.000 states/eV per cell
ΔE to the lowest computed polymorph ... 0 meV per atom
Space-group type ... No. 15
Raw total energy ... -7.246 eV/atom

abc: 6.463 6.463 12.473
angles: 93.44 93.44 112.59
Fractional positions:
Os (0.064, 0.936, 0.750)
Os (0.936, 0.064, 0.250)
C (0.094, 0.721, 0.843)
C (0.188, 0.299, 0.341)
C (0.279, 0.906, 0.657)
C (0.299, 0.188, 0.841)
C (0.701, 0.812, 0.159)
C (0.721, 0.094, 0.343)
C (0.812, 0.701, 0.659)
C (0.906, 0.279, 0.157)
Cl (0.029, 0.222, 0.640)
Cl (0.222, 0.029, 0.140)
Cl (0.778, 0.971, 0.860)
Cl (0.971, 0.778, 0.360)
O (0.114, 0.594, 0.899)
O (0.336, 0.437, 0.392)
O (0.406, 0.886, 0.601)
O (0.437, 0.336, 0.892)
O (0.563, 0.664, 0.108)
O (0.594, 0.114, 0.399)
O (0.664, 0.563, 0.608)
O (0.886, 0.406, 0.101)

***

Record 9
A plane-wave DFT calculation with PBE was carried out for KZrTl after structural relaxation.

Results
Density of states at the Fermi level ... 3.140 states/eV per cell
ΔE to the lowest computed polymorph ... 114 meV per atom
Space-group type ... No. 6
E_form ... 137 meV/atom
Raw total energy ... -3.867 eV/atom

abc: 3.407 5.042 12.723
angles: 90.00 90.61 90.00
Fractional positions:
K (0.000, 0.000, 0.000)
K (0.490, 0.500, 0.293)
Zr (0.487, 0.500, 0.570)
Zr (0.995, 0.500, 0.760)
Tl (0.494, 0.000, 0.742)
Tl (0.985, 0.000, 0.509)

***

Record 10
A plane-wave DFT calculation with PBE was carried out for ScCrBr4 after structural relaxation.

Results
Density of states at the Fermi level ... 7.531 states/eV per cell
Space-group type ... No. 216
Raw total energy ... -3.211 eV/atom

abc: 6.238 6.238 6.238
angles: 60.00 60.00 60.00
Fractional positions:
Sc (0.000, 0.000, 0.000)
Cr (0.250, 0.250, 0.250)
Br (0.125, 0.625, 0.625)
Br (0.625, 0.125, 0.625)
Br (0.625, 0.625, 0.125)
Br (0.625, 0.625, 0.625)

***

Record 11
A plane-wave DFT calculation with PBE was carried out for MgGa2 after structural relaxation.

Results
Density of states at the Fermi level ... 2.750 states/eV per cell
Space-group type ... No. 227
E_form ... -68 meV/atom
Raw total energy ... -2.618 eV/atom

abc: 5.471 5.471 5.471
angles: 60.00 60.00 60.00
Fractional positions:
Mg (0.125, 0.125, 0.125)
Mg (0.875, 0.875, 0.875)
Ga (0.000, 0.500, 0.500)
Ga (0.500, 0.000, 0.500)
Ga (0.500, 0.500, 0.000)
Ga (0.500, 0.500, 0.500)

***

Record 12
A plane-wave DFT calculation with PBE was carried out for Si4As5 after structural relaxation.

Results
Density of states at the Fermi level ... 3.168 states/eV per cell
Space-group type ... No. 139
Raw total energy ... -4.508 eV/atom

abc: 7.197 7.197 7.197
angles: 92.78 92.78 154.55
Fractional positions:
Si (0.000, 0.348, 0.348)
Si (0.000, 0.652, 0.652)
Si (0.348, 0.000, 0.348)
Si (0.652, 0.000, 0.652)
As (0.000, 0.000, 0.000)
As (0.331, 0.331, 0.661)
As (0.331, 0.669, 0.000)
As (0.669, 0.331, 0.000)
As (0.669, 0.669, 0.339)

***

Record 13
A plane-wave DFT calculation with PBE was carried out for Sm2DyThSb5 after structural relaxation.

Results
Density of states at the Fermi level ... 3.055 states/eV per cell
Space-group type ... No. 123
Raw total energy ... -4.892 eV/atom

abc: 5.244 5.244 11.856
angles: 90.00 90.00 90.00
Fractional positions:
Sm (0.000, 0.000, 0.215)
Sm (0.000, 0.000, 0.785)
Dy (0.500, 0.500, 0.000)
Th (0.500, 0.500, 0.500)
Sb (0.000, 0.000, 0.500)
Sb (0.000, 0.500, 0.000)
Sb (0.500, 0.000, 0.000)
Sb (0.500, 0.500, 0.251)
Sb (0.500, 0.500, 0.749)

***

Record 14
A plane-wave DFT calculation with PBE was carried out for Ac12Bi5Ru3 after structural relaxation.

Results
Density of states at the Fermi level ... 58.292 states/eV per cell
Space-group type ... No. 230
E_form ... 2 meV/atom
Raw total energy ... -4.824 eV/atom

abc: 16.443 16.443 16.443
angles: 109.47 109.47 109.47
Fractional positions:
Ac (0.056, 0.627, 0.388)
Ac (0.056, 0.930, 0.669)
Ac (0.070, 0.239, 0.127)
Ac (0.070, 0.331, 0.944)
Ac (0.112, 0.739, 0.669)
Ac (0.112, 0.873, 0.444)
Ac (0.127, 0.070, 0.239)
Ac (0.127, 0.556, 0.888)
Ac (0.169, 0.239, 0.612)
Ac (0.169, 0.430, 0.556)
Ac (0.239, 0.127, 0.070)
Ac (0.239, 0.612, 0.169)
Ac (0.261, 0.331, 0.888)
Ac (0.261, 0.430, 0.373)
Ac (0.331, 0.888, 0.261)
Ac (0.331, 0.944, 0.070)
Ac (0.373, 0.261, 0.430)
Ac (0.373, 0.612, 0.944)
Ac (0.388, 0.056, 0.627)
Ac (0.388, 0.831, 0.761)
Ac (0.430, 0.373, 0.261)
Ac (0.430, 0.556, 0.169)
Ac (0.444, 0.112, 0.873)
Ac (0.444, 0.831, 0.570)
Ac (0.556, 0.169, 0.430)
Ac (0.556, 0.888, 0.127)
Ac (0.570, 0.444, 0.831)
Ac (0.570, 0.627, 0.739)
Ac (0.612, 0.169, 0.239)
Ac (0.612, 0.944, 0.373)
Ac (0.627, 0.388, 0.056)
Ac (0.627, 0.739, 0.570)
Ac (0.669, 0.056, 0.930)
Ac (0.669, 0.112, 0.739)
Ac (0.739, 0.570, 0.627)
Ac (0.739, 0.669, 0.112)
Ac (0.761, 0.388, 0.831)
Ac (0.761, 0.873, 0.930)
Ac (0.831, 0.570, 0.444)
Ac (0.831, 0.761, 0.388)
Ac (0.873, 0.444, 0.112)
Ac (0.873, 0.930, 0.761)
Ac (0.888, 0.127, 0.556)
Ac (0.888, 0.261, 0.331)
Ac (0.930, 0.669, 0.056)
Ac (0.930, 0.761, 0.873)
Ac (0.944, 0.070, 0.331)
Ac (0.944, 0.373, 0.612)
Bi (0.000, 0.000, 0.000)
Bi (0.000, 0.000, 0.500)
Bi (0.000, 0.500, 0.000)
Bi (0.000, 0.500, 0.500)
Bi (0.125, 0.750, 0.875)
Bi (0.125, 0.875, 0.250)
Bi (0.250, 0.125, 0.875)
Bi (0.250, 0.625, 0.375)
Bi (0.375, 0.250, 0.625)
Bi (0.375, 0.625, 0.750)
Bi (0.500, 0.000, 0.000)
Bi (0.500, 0.000, 0.500)
Bi (0.500, 0.500, 0.000)
Bi (0.500, 0.500, 0.500)
Bi (0.625, 0.375, 0.250)
Bi (0.625, 0.750, 0.375)
Bi (0.750, 0.375, 0.625)
Bi (0.750, 0.875, 0.125)
Bi (0.875, 0.125, 0.750)
Bi (0.875, 0.250, 0.125)
Ru (0.125, 0.250, 0.375)
Ru (0.125, 0.375, 0.750)
Ru (0.250, 0.375, 0.125)
Ru (0.250, 0.875, 0.625)
Ru (0.375, 0.125, 0.250)
Ru (0.375, 0.750, 0.125)
Ru (0.625, 0.250, 0.875)
Ru (0.625, 0.875, 0.750)
Ru (0.750, 0.125, 0.375)
Ru (0.750, 0.625, 0.875)
Ru (0.875, 0.625, 0.250)
Ru (0.875, 0.750, 0.625)

***

Record 15
A plane-wave DFT calculation with PBE was carried out for BaAgP after structural relaxation.

Results
Density of states at the Fermi level ... 1.256 states/eV per cell
Space-group type ... No. 107
E_form ... -230 meV/atom
Raw total energy ... -3.625 eV/atom

abc: 4.533 4.533 8.732
angles: 90.00 90.00 90.00
Fractional positions:
Ba (0.000, 0.000, 0.000)
Ba (0.500, 0.500, 0.500)
Ag (0.000, 0.000, 0.362)
Ag (0.500, 0.500, 0.862)
P (0.000, 0.000, 0.641)
P (0.500, 0.500, 0.141)

***

Record 16
A plane-wave DFT calculation with PBE was carried out for CdSeN2O after structural relaxation.

Results
Density of states at the Fermi level ... 2.814 states/eV per cell
Space-group type ... No. 123
Raw total energy ... -3.245 eV/atom

abc: 4.350 4.350 4.147
angles: 90.00 90.00 90.00
Fractional positions:
Cd (0.000, 0.000, 0.000)
Se (0.500, 0.500, 0.500)
N (0.000, 0.500, 0.000)
N (0.500, 0.000, 0.000)
O (0.000, 0.000, 0.500)

***

Record 17
A plane-wave DFT calculation with PBE was carried out for Mg2Mn2MoN6 after structural relaxation.

Results
Density of states at the Fermi level ... 4.414 states/eV per cell
Space-group type ... No. 12
Raw total energy ... -7.795 eV/atom

abc: 4.912 4.912 5.384
angles: 98.07 98.07 120.13
Fractional positions:
Mg (0.172, 0.828, 0.000)
Mg (0.828, 0.172, 0.000)
Mn (0.360, 0.640, 0.500)
Mn (0.640, 0.360, 0.500)
Mo (0.000, 0.000, 0.500)
N (0.065, 0.416, 0.714)
N (0.271, 0.271, 0.255)
N (0.416, 0.065, 0.714)
N (0.584, 0.935, 0.286)
N (0.729, 0.729, 0.745)
N (0.935, 0.584, 0.286)

***

Record 18
A plane-wave DFT calculation with PBE was carried out for Tb6PaTe12 after structural relaxation.

Results
Density of states at the Fermi level ... 15.741 states/eV per cell
Space-group type ... No. 148
Raw total energy ... -5.110 eV/atom

abc: 8.880 8.880 8.880
angles: 99.12 99.12 99.12
Fractional positions:
Tb (0.139, 0.639, 0.815)
Tb (0.185, 0.861, 0.361)
Tb (0.361, 0.185, 0.861)
Tb (0.639, 0.815, 0.139)
Tb (0.815, 0.139, 0.639)
Tb (0.861, 0.361, 0.185)
Pa (0.500, 0.500, 0.500)
Te (0.073, 0.924, 0.679)
Te (0.076, 0.321, 0.927)
Te (0.170, 0.527, 0.420)
Te (0.321, 0.927, 0.076)
Te (0.420, 0.170, 0.527)
Te (0.473, 0.580, 0.830)
Te (0.527, 0.420, 0.170)
Te (0.580, 0.830, 0.473)
Te (0.679, 0.073, 0.924)
Te (0.830, 0.473, 0.580)
Te (0.924, 0.679, 0.073)
Te (0.927, 0.076, 0.321)

***

Record 19
A plane-wave DFT calculation with PBE was carried out for CeTiP3 after structural relaxation.

Results
Density of states at the Fermi level ... 20.042 states/eV per cell
Space-group type ... No. 57
E_form ... -960 meV/atom
Raw total energy ... -6.972 eV/atom

abc: 12.177 5.377 5.616
angles: 90.00 90.00 90.00
Fractional positions:
Ce (0.182, 0.004, 0.250)
Ce (0.182, 0.496, 0.750)
Ce (0.818, 0.504, 0.250)
Ce (0.818, 0.996, 0.750)
Ti (0.422, 0.750, 0.000)
Ti (0.422, 0.750, 0.500)
Ti (0.578, 0.250, 0.000)
Ti (0.578, 0.250, 0.500)
P (0.001, 0.750, 0.000)
P (0.001, 0.750, 0.500)
P (0.281, 0.001, 0.750)
P (0.281, 0.499, 0.250)
P (0.419, 0.124, 0.250)
P (0.419, 0.376, 0.750)
P (0.581, 0.624, 0.250)
P (0.581, 0.876, 0.750)
P (0.719, 0.501, 0.750)
P (0.719, 0.999, 0.250)
P (0.999, 0.250, 0.000)
P (0.999, 0.250, 0.500)

***

Record 20
A plane-wave DFT calculation with PBE was carried out for Er4RuCl5 after structural relaxation.

Results
Density of states at the Fermi level ... 5.548 states/eV per cell
Space-group type ... No. 12
Raw total energy ... -5.244 eV/atom

abc: 9.444 9.444 8.393
angles: 99.58 99.58 23.13
Fractional positions:
Er (0.008, 0.008, 0.228)
Er (0.354, 0.354, 0.940)
Er (0.646, 0.646, 0.060)
Er (0.992, 0.992, 0.772)
Ru (0.500, 0.500, 0.000)
Cl (0.165, 0.165, 0.300)
Cl (0.189, 0.189, 0.858)
Cl (0.500, 0.500, 0.500)
Cl (0.811, 0.811, 0.142)
Cl (0.835, 0.835, 0.700)

***

The following size of the total moment values (in μB per atom) correspond, in order, to the records above: 0.044; 0.461; 0.000; 0.000; 0.200; 0.652; 0.000; 0.000; 0.000; 1.138; 0.000; 0.000; 0.000; 0.000; 0.000; 0.310; 0.035; 0.000; 0.076; 0.043.